No. 1
DFT (PBE) results for an optimized crystal structure of Cu.

```
1
Lattice="-1.495 1.495 1.344 1.495 -1.495 1.344 1.495 1.495 -1.344" Properties=species:S:1:pos:R:3 pbc="T T T"
Cu 0.000 0.000 0.000
```

Summary:
**Distance to the lowest polymorph of the same formula**: 0.052 eV/f.u.
**DOS(E_F)**: 0.6 states/eV/cell
**Raw total energy**: -4.04 eV per atom
**Formation enthalpy at 0 K**: 0.052 eV/f.u.

=====

No. 2
DFT (PBE) results for an optimized crystal structure of DyHf2Al6.

```
9
Lattice="7.792 0.000 0.000 -3.896 6.748 0.000 0.000 0.000 3.190" Properties=species:S:1:pos:R:3 pbc="T T T"
Dy 0.000 0.000 0.000
Hf 0.000 4.499 0.000
Hf 3.896 2.249 0.000
Al -1.314 2.276 1.595
Al -2.582 4.472 1.595
Al 2.628 0.000 1.595
Al 1.314 2.276 1.595
Al 5.164 0.000 1.595
Al 2.582 4.472 1.595
```

Summary:
**Distance to the lowest polymorph of the same formula**: 0.000 eV/f.u.
**DOS(E_F)**: 4.1 states/eV/cell
**Raw total energy**: -5.59 eV per atom
**Formation enthalpy at 0 K**: -3.353 eV/f.u.

=====

No. 3
DFT (PBE) results for an optimized crystal structure of Ca2AlCo2.

```
10
Lattice="6.450 0.000 0.000 0.000 6.450 0.000 0.000 0.000 4.568" Properties=species:S:1:pos:R:3 pbc="T T T"
Ca 1.147 2.078 0.000
Ca 2.078 5.303 0.000
Ca 4.372 1.147 0.000
Ca 5.303 4.372 0.000
Al 0.000 0.000 2.284
Al 3.225 3.225 2.284
Co 0.799 4.024 2.284
Co 2.426 0.799 2.284
Co 4.024 5.651 2.284
Co 5.651 2.426 2.284
```

Summary:
**DOS(E_F)**: 3.7 states/eV/cell
**Raw total energy**: -4.39 eV per atom
**Formation enthalpy at 0 K**: 0.029 eV/f.u.

=====

No. 4
DFT (PBE) results for an optimized crystal structure of LiCe2Ga6.

```
9
Lattice="7.843 0.000 0.000 -3.921 6.792 0.000 0.000 0.000 3.435" Properties=species:S:1:pos:R:3 pbc="T T T"
Li 0.000 0.000 0.000
Ce 0.000 4.528 0.000
Ce 3.921 2.264 0.000
Ga -1.284 2.224 1.717
Ga -2.637 4.568 1.717
Ga 2.569 0.000 1.717
Ga 1.284 2.224 1.717
Ga 5.274 0.000 1.717
Ga 2.637 4.568 1.717
```

Summary:
**DOS(E_F)**: 8.7 states/eV/cell
**Raw total energy**: -3.97 eV per atom
**Formation enthalpy at 0 K**: -3.814 eV/f.u.